[1]
## P2OsCl (PBE)

Data for an optimized crystal structure of P2OsCl.

abc: 4.775 4.775 3.054
angles: 90.00 90.00 119.71
Sites, in units of the cell vectors:
P1 0.000 0.000 0.000
Os1 0.000 0.500 0.500
P2 0.500 0.500 0.000
Cl1 0.500 0.000 0.500

Excess energy over the best structure of this formula in the dataset: 955 meV/atom
Space-group type: No. 65

***

[2]
## POsCl2 (PBE)

Data for an optimized crystal structure of POsCl2.

abc: 4.458 4.458 4.458
angles: 60.00 60.00 60.00
Last column: magnetic moment on the atom in μB.
Sites, in units of the cell vectors:
Os1 0.500 0.500 0.500  0.84
Cl1 0.000 0.000 0.000  0.16
Cl2 0.250 0.250 0.250  0.01
P1 0.750 0.750 0.750  -0.05

Excess energy over the best structure of this formula in the dataset: 1315 meV/atom
Space-group type: No. 216

***

[3]
## POsCl2 (PBE)

Data for an optimized crystal structure of POsCl2.

abc: 4.901 4.901 2.851
angles: 90.00 90.00 108.47
Sites, in units of the cell vectors:
Os1 0.500 0.000 0.500
Cl1 0.000 0.000 0.000
Cl2 0.500 0.500 0.000
P1 0.000 0.500 0.500

Excess energy over the best structure of this formula in the dataset: 1706 meV/atom
Space-group type: No. 65

***

[4]
## Pm6POs2Cl3 (PBE)

Data for an optimized crystal structure of Pm6POs2Cl3.

abc: 7.155 7.155 7.695
angles: 98.95 98.95 120.03
Sites, in units of the cell vectors:
Pm1 0.412 0.068 0.207
Pm2 0.724 0.724 0.206
Cl1 0.500 0.500 0.500
Os1 0.333 0.667 0.000
Cl2 0.838 0.162 0.500
P1 0.000 0.000 0.000
Pm3 0.068 0.412 0.207
Pm4 0.932 0.588 0.793
Os2 0.667 0.333 0.000
Pm5 0.276 0.276 0.794
Pm6 0.588 0.932 0.793
Cl3 0.162 0.838 0.500

Space-group type: No. 12

***

[5]
## Pr8P3OsCl4 (PBE)

Data for an optimized crystal structure of Pr8P3OsCl4.

abc: 8.408 8.544 8.408
angles: 119.48 120.00 90.00
Sites, in units of the cell vectors:
P1 0.500 0.500 0.000
Cl1 0.000 0.000 0.000
Pr1 0.235 0.715 0.980
Cl2 0.500 0.000 0.500
Pr2 0.746 0.715 0.980
P2 0.000 0.500 0.500
Pr3 0.739 0.718 0.479
Pr4 0.254 0.285 0.020
Pr5 0.765 0.285 0.020
Os1 0.000 0.500 0.000
Cl3 0.000 0.000 0.500
Pr6 0.765 0.285 0.530
Cl4 0.500 0.000 0.000
Pr7 0.235 0.715 0.470
P3 0.500 0.500 0.500
Pr8 0.261 0.282 0.521

Space-group type: No. 166

***

[6]
## Pr8POs3Cl4 (PBE)

Data for an optimized crystal structure of Pr8POs3Cl4.

abc: 8.349 8.916 8.348
angles: 117.92 120.00 90.00
Sites, in units of the cell vectors:
Pr1 0.262 0.286 0.524
Cl1 0.500 0.000 0.000
Os1 0.500 0.500 0.500
Os2 0.500 0.500 0.000
Pr2 0.239 0.703 0.478
Pr3 0.725 0.703 0.964
Pr4 0.738 0.714 0.476
Pr5 0.239 0.703 0.964
Cl2 0.000 0.000 0.500
Os3 0.000 0.500 0.500
P1 0.000 0.500 0.000
Pr6 0.761 0.297 0.522
Pr7 0.275 0.297 0.036
Cl3 0.500 0.000 0.500
Pr8 0.761 0.297 0.036
Cl4 0.000 0.000 0.000

Space-group type: No. 166

***

[7]
## P2OsPtCl (PBE)

Data for an optimized crystal structure of P2OsPtCl.

abc: 4.513 4.513 4.866
angles: 90.00 90.00 90.00
Sites, in units of the cell vectors:
P1 0.000 0.500 0.000
Cl1 0.000 0.000 0.500
P2 0.500 0.000 0.000
Os1 0.000 0.000 0.000
Pt1 0.500 0.500 0.500

Excess energy over the best structure of this formula in the dataset: 0 meV/atom
Space-group type: No. 123

***

[8]
## POsPtCl2 (PBE)

Data for an optimized crystal structure of POsPtCl2.

abc: 4.784 4.784 4.529
angles: 90.00 90.00 90.00
Sites, in units of the cell vectors:
Pt1 0.500 0.500 0.500
Cl1 0.000 0.500 0.000
Os1 0.000 0.000 0.000
P1 0.000 0.000 0.500
Cl2 0.500 0.000 0.000

Excess energy over the best structure of this formula in the dataset: 0 meV/atom
Space-group type: No. 123

***

[9]
## POsPtCl2 (PBE)

Data for an optimized crystal structure of POsPtCl2.

abc: 4.832 4.832 4.718
angles: 90.00 90.00 90.00
Last column: magnetic moment on the atom in μB.
Sites, in units of the cell vectors:
Cl1 0.500 0.000 0.000  0.09
Cl2 0.000 0.500 0.000  0.09
P1 0.000 0.000 0.500  -0.07
Pt1 0.000 0.000 0.000  -0.03
Os1 0.500 0.500 0.500  3.19

Excess energy over the best structure of this formula in the dataset: 366 meV/atom
Space-group type: No. 123

***

[10]
## P2OsPtCl (PBE)

Data for an optimized crystal structure of P2OsPtCl.

abc: 4.564 5.368 4.564
angles: 90.00 90.00 90.00
Last column: magnetic moment on the atom in μB.
Sites, in units of the cell vectors:
P1 0.000 0.000 0.500  -0.10
P2 0.500 0.000 0.000  -0.11
Pt1 0.000 0.000 0.000  0.01
Os1 0.000 0.500 0.000  2.99
Cl1 0.500 0.500 0.500  0.17

Excess energy over the best structure of this formula in the dataset: 499 meV/atom
Space-group type: No. 123

***

[11]
## RbP2OsCl (PBE)

Data for an optimized crystal structure of RbP2OsCl.

abc: 5.422 5.422 5.396
angles: 90.00 90.00 90.00
Last column: magnetic moment on the atom in μB.
Sites, in units of the cell vectors:
P1 0.000 0.500 0.000  -0.26
Rb1 0.000 0.000 0.000  0.00
P2 0.500 0.000 0.000  -0.26
Cl1 0.000 0.000 0.500  -0.17
Os1 0.500 0.500 0.500  0.49

Excess energy over the best structure of this formula in the dataset: 2850 meV/atom
Space-group type: No. 123

***

[12]
## Rb2POsCl6 (PBE)

Data for an optimized crystal structure of Rb2POsCl6.

abc: 6.921 6.921 7.566
angles: 62.78 62.78 90.00
Last column: magnetic moment on the atom in μB.
Sites, in units of the cell vectors:
Cl1 0.753 0.247 0.000  0.04
Cl2 0.753 0.753 0.000  0.04
Rb1 0.250 0.750 0.500  0.00
Cl3 0.247 0.247 0.000  0.04
Cl4 0.793 0.793 0.414  0.02
Cl5 0.207 0.207 0.586  0.02
Rb2 0.750 0.250 0.500  0.00
Cl6 0.247 0.753 0.000  0.04
P1 0.500 0.500 0.000  0.37
Os1 0.000 0.000 0.000  0.94

Space-group type: No. 139

***

Sequential formation energy (no corrections) output: 3.71; 4.05; 5.62; -12.50; -22.16; -15.15; 4.49; 4.86; 6.69; 6.98; 13.53; -7.06 eV/f.u.
Sequential density output: 7.9; 7.7; 7.5; 7.1; 6.0; 6.9; 8.1; 7.8; 7.3; 7.2; 3.9; 3.6 g/cm³